(1)
{
  "formula": "RbZrAl2",
  "functional": "PBE-GGA",
  "state": "relaxed",
  "dos_ef_per_ev_atom": 0.824,
  "energy_ev_per_atom": -3.473,
  "cell": [[-2.701, 2.701, 9.928], [2.701, -2.701, 9.928], [2.701, 2.701, -9.928]],
  "species": ["Rb", "Rb", "Zr", "Zr", "Al", "Al", "Al", "Al"],
  "frac_coords": [[0.375, 0.625, 0.750], [0.625, 0.375, 0.250], [0.125, 0.875, 0.250], [0.875, 0.125, 0.750], [0.000, 0.000, 0.000], [0.000, 0.000, 0.500], [0.000, 0.500, 0.000], [0.500, 0.000, 0.500]]
}

=====

(2)
{
  "formula": "Tl8CdHg5",
  "functional": "PBE-GGA",
  "state": "relaxed",
  "dos_ef_per_ev_atom": 0.412,
  "energy_ev_per_atom": -1.508,
  "cell": [[-4.733, 4.733, 4.710], [4.733, -4.733, 4.710], [4.733, 4.733, -4.710]],
  "species": ["Tl", "Tl", "Tl", "Tl", "Tl", "Tl", "Tl", "Tl", "Cd", "Hg", "Hg", "Hg", "Hg", "Hg"],
  "frac_coords": [[0.122, 0.223, 0.753], [0.129, 0.727, 0.755], [0.273, 0.028, 0.402], [0.471, 0.369, 0.247], [0.626, 0.871, 0.598], [0.631, 0.878, 0.101], [0.777, 0.529, 0.899], [0.972, 0.374, 0.245], [0.000, 0.000, 0.000], [0.256, 0.630, 0.130], [0.370, 0.500, 0.626], [0.500, 0.125, 0.870], [0.750, 0.250, 0.500], [0.875, 0.744, 0.374]]
}

=====

(3)
{
  "formula": "ZnIn3Au",
  "functional": "PBE-GGA",
  "state": "relaxed",
  "dos_ef_per_ev_atom": 0.402,
  "energy_ev_per_atom": -2.254,
  "cell": [[5.167, 0.000, 0.000], [0.000, 5.167, 0.000], [0.000, 0.000, 5.167]],
  "species": ["Zn", "In", "In", "In", "Au"],
  "frac_coords": [[0.000, 0.000, 0.000], [0.000, 0.000, 0.500], [0.000, 0.500, 0.000], [0.500, 0.000, 0.000], [0.500, 0.500, 0.500]]
}

=====

(4)
{
  "formula": "CaZn2GaPd",
  "functional": "PBE-GGA",
  "state": "relaxed",
  "dos_ef_per_ev_atom": 0.558,
  "energy_ev_per_atom": -2.998,
  "cell": [[-2.083, 2.087, 5.506], [2.083, -2.087, 5.506], [2.083, 2.087, -5.506]],
  "species": ["Ca", "Zn", "Zn", "Ga", "Pd"],
  "frac_coords": [[0.000, 0.000, 0.000], [0.386, 0.386, 0.000], [0.752, 0.252, 0.500], [0.614, 0.614, 0.000], [0.246, 0.746, 0.500]]
}

=====

(5)
{
  "formula": "NbAlZn2",
  "functional": "PBE-GGA",
  "state": "relaxed",
  "dos_ef_per_ev_atom": 0.299,
  "energy_ev_per_atom": -3.898,
  "cell": [[-3.538, 3.538, 2.703], [3.538, -3.538, 2.703], [3.538, 3.538, -2.703]],
  "species": ["Nb", "Nb", "Al", "Al", "Zn", "Zn", "Zn", "Zn"],
  "frac_coords": [[0.000, 0.000, 0.000], [0.750, 0.250, 0.500], [0.250, 0.750, 0.500], [0.500, 0.500, 0.000], [0.146, 0.625, 0.021], [0.375, 0.396, 0.521], [0.604, 0.125, 0.979], [0.875, 0.854, 0.479]]
}

=====

(6)
{
  "formula": "TaSiF",
  "functional": "PBE-GGA",
  "state": "relaxed",
  "dos_ef_per_ev_atom": 0.225,
  "formation_energy_uncorrected_mev_per_atom": -1220,
  "cell": [[3.316, 0.000, 0.000], [0.000, 3.316, 0.000], [0.000, 0.000, 7.175]],
  "species": ["Ta", "Ta", "Si", "Si", "F", "F"],
  "frac_coords": [[0.250, 0.250, 0.229], [0.750, 0.750, 0.771], [0.250, 0.250, 0.594], [0.750, 0.750, 0.406], [0.250, 0.750, 0.000], [0.750, 0.250, 0.000]]
}